Pr2SbN: relaxed, PBE.

Values from the calculation:
DFT total energy = -6.199 eV per atom
N(E_F) = 2.46 states/eV/f.u.
Energy relative to the elements, uncorrected = -698 meV/atom
Total magnetization = 0.000 μB/cell
Energy above the lowest structure with this stoichiometry = 525 meV/atom

abc: 3.6098 3.6098 9.5355
angles: 79.09 79.09 60.00
Fractional positions:
Pr (0.1154, 0.1154, 0.6538)
Pr (0.8846, 0.8846, 0.3462)
Sb (0.0000, 0.0000, 0.0000)
N (0.5000, 0.5000, 0.5000)


HoTlSn4: relaxed, PBE.

Values from the calculation:
DFT total energy = -3.938 eV per atom
N(E_F) = 2.70 states/eV/f.u.
Formation energy = -0.1121 eV/atom
Total magnetization = 0.000 μB/cell

abc: 6.2175 6.2175 6.2175
angles: 60.00 60.00 60.00
Fractional positions:
Tl (0.2500, 0.2500, 0.2500)
Ho (0.0000, 0.0000, 0.0000)
Sn (0.6254, 0.6254, 0.1238)
Sn (0.6254, 0.1238, 0.6254)
Sn (0.6254, 0.6254, 0.6254)
Sn (0.1238, 0.6254, 0.6254)


HfTi2W: relaxed, PBE.

Values from the calculation:
DFT total energy = -9.109 eV per atom
N(E_F) = 5.63 states/eV/f.u.
Formation energy = 0.5650 eV/atom
Total magnetization = 0.000 μB/cell

abc: 7.2889 7.2889 5.8774
angles: 51.68 51.68 90.00
Fractional positions:
Hf (0.5000, 0.5000, 0.0000)
Hf (0.2500, 0.7500, 0.5000)
W (0.0000, 0.0000, 0.0000)
W (0.7500, 0.2500, 0.5000)
Ti (0.6493, 0.1250, 0.2500)
Ti (0.1007, 0.6250, 0.2500)
Ti (0.3750, 0.3507, 0.7500)
Ti (0.8750, 0.8993, 0.7500)